An optimized crystal structure of LiPPt2, computed with PBE-GGA.

Lattice parameters (Å, degrees): 4.6505 4.6505 4.6505 134.14 126.31 73.23
Positions (direct):
Li 0.7500 0.2500 0.5000
P 0.2500 0.7500 0.5000
Pt 0.0414 0.0414 0.0000
Pt 0.4586 0.4586 0.0000

Output
* ΔH_f (0 K): -0.460 eV/atom

An optimized crystal structure of LiP2Pt, computed with PBE-GGA.

Lattice parameters (Å, degrees): 3.8560 3.8281 4.8048 89.63 90.00 90.00
Positions (direct):
Li 0.5000 0.7500 0.7500
P 0.0000 0.2478 0.9695
P 0.0000 0.2522 0.5305
Pt 0.5000 0.2500 0.2500

Output
* ΔE to the lowest computed polymorph: 0 meV per atom
* ΔH_f (0 K): -0.459 eV/atom

An optimized crystal structure of LiP2Pt, computed with PBE-GGA.

Lattice parameters (Å, degrees): 3.4414 3.4453 5.4930 90.00 90.00 90.00
Positions (direct):
Li 0.5000 0.5000 0.7500
P 0.0000 0.0000 0.0581
P 0.0000 0.0000 0.4419
Pt 0.5000 0.5000 0.2500

Output
* ΔE to the lowest computed polymorph: 238 meV per atom
* ΔH_f (0 K): -0.222 eV/atom

An optimized crystal structure of LiPPt2, computed with PBE-GGA.

Lattice parameters (Å, degrees): 4.0546 3.7839 4.4526 64.76 90.00 90.00
Positions (direct):
P 0.5000 0.9466 0.7372
Pt 0.0000 0.8062 0.0100
Pt 0.5000 0.2362 0.1502
Li 0.0000 0.5110 0.6027

Output
* ΔH_f (0 K): -0.543 eV/atom

An optimized crystal structure of Li2P2Pt, computed with PBE-GGA.

Lattice parameters (Å, degrees): 6.0039 6.0039 4.1924 90.00 90.00 90.00
Positions (direct):
P 0.3699 0.8699 0.0000
P 0.8699 0.6301 0.0000
P 0.6301 0.1301 0.0000
P 0.1301 0.3699 0.0000
Pt 0.0000 0.0000 0.0000
Pt 0.5000 0.5000 0.0000
Li 0.1761 0.6761 0.5000
Li 0.6761 0.8239 0.5000
Li 0.8239 0.3239 0.5000
Li 0.3239 0.1761 0.5000

Output
* ΔE to the lowest computed polymorph: 0 meV per atom
* ΔH_f (0 K): -0.717 eV/atom

An optimized crystal structure of LiPPt2, computed with PBE-GGA.

Lattice parameters (Å, degrees): 3.3855 3.3855 4.9086 90.00 90.00 90.00
Positions (direct):
Li 0.0000 0.0000 0.4700
P 0.5000 0.5000 0.7830
Pt 0.0000 0.0000 0.9563
Pt 0.5000 0.5000 0.2907

Output
* ΔH_f (0 K): -0.452 eV/atom

An optimized crystal structure of LiPPt2, computed with PBE-GGA.

Lattice parameters (Å, degrees): 3.9725 3.9712 3.4429 90.00 90.00 90.00
Positions (direct):
Li 0.5000 0.0000 0.5000
P 0.0000 0.5000 0.5000
Pt 0.0000 0.0000 0.0000
Pt 0.5000 0.5000 0.0000

Output
* ΔH_f (0 K): -0.458 eV/atom

An optimized crystal structure of Li4PPt, computed with PBE-GGA.

Lattice parameters (Å, degrees): 4.7281 4.7281 4.7281 60.00 60.00 60.00
Positions (direct):
Li 0.8780 0.3740 0.3740
Li 0.3740 0.3740 0.8780
Li 0.3740 0.8780 0.3740
Li 0.3740 0.3740 0.3740
P 0.7500 0.7500 0.7500
Pt 0.0000 0.0000 0.0000

Output
* ΔE to the lowest computed polymorph: 370 meV per atom
* ΔH_f (0 K): -0.203 eV/atom

An optimized crystal structure of Li4PPt, computed with PBE-GGA.

Lattice parameters (Å, degrees): 4.2396 4.9209 4.9153 83.39 64.51 115.41
Positions (direct):
Li 0.2571 0.0956 0.5744
Li 0.7376 0.9097 0.4282
Li 0.7610 0.6011 0.0753
Li 0.2365 0.4044 0.9274
P 0.4987 0.0028 0.0012
Pt 0.9979 0.5027 0.5013

Output
* ΔE to the lowest computed polymorph: 0 meV per atom
* ΔH_f (0 K): -0.573 eV/atom

An optimized crystal structure of LiP2Pt, computed with PBE-GGA.

Lattice parameters (Å, degrees): 5.2830 5.2830 5.2830 149.22 122.35 66.78
Positions (direct):
Li 0.2500 0.7500 0.5000
P 0.9756 0.9756 0.0000
P 0.5244 0.5244 0.0000
Pt 0.7500 0.2500 0.5000

Output
* ΔE to the lowest computed polymorph: 301 meV per atom
* ΔH_f (0 K): -0.158 eV/atom

An optimized crystal structure of LiP2Pt, computed with PBE-GGA.

Lattice parameters (Å, degrees): 3.0008 3.0008 6.7093 90.00 90.00 90.00
Positions (direct):
Li 0.5000 0.5000 0.7500
P 0.0000 0.0000 0.0174
P 0.0000 0.0000 0.4826
Pt 0.5000 0.5000 0.2500

Output
* ΔE to the lowest computed polymorph: 387 meV per atom
* ΔH_f (0 K): -0.072 eV/atom

An optimized crystal structure of LiPPt2, computed with PBE-GGA.

Lattice parameters (Å, degrees): 7.1781 7.1781 5.7053 51.02 51.02 90.00
Positions (direct):
P 0.0000 0.0000 0.0000
P 0.7500 0.2500 0.5000
Pt 0.7078 0.1250 0.2500
Pt 0.0422 0.6250 0.2500
Pt 0.3750 0.2922 0.7500
Pt 0.8750 0.9578 0.7500
Li 0.5000 0.5000 0.0000
Li 0.2500 0.7500 0.5000

Output
* ΔH_f (0 K): -0.390 eV/atom